(1)
# BOsPd3

Crystalline BOsPd3 at its relaxed geometry (PBE, Alexandria).

abc: 4.1365 4.1365 4.1365
angles: 90.00 90.00 90.00
Last column: nearest neighbours and their distance in Å.
Fractional positions:
B: 0.0000 0.0000 0.0000  6 Pd 2.07
Os: 0.5000 0.5000 0.5000  12 Pd 2.92
Pd: 0.0000 0.5000 0.0000  2 B 2.07
Pd: 0.0000 0.0000 0.5000  2 B 2.07
Pd: 0.5000 0.0000 0.0000  2 B 2.07

=====

(2)
# BOsPd3

Crystalline BOsPd3 at its relaxed geometry (PBE, Alexandria).

abc: 4.8165 4.8165 4.8165
angles: 90.00 90.00 90.00
Last column: nearest neighbours and their distance in Å.
Fractional positions:
B: 0.5000 0.5000 0.5000  12 Pd 3.41
Os: 0.0000 0.0000 0.0000  6 Pd 2.41
Pd: 0.0000 0.5000 0.0000  2 Os 2.41
Pd: 0.0000 0.0000 0.5000  2 Os 2.41
Pd: 0.5000 0.0000 0.0000  2 Os 2.41

=====

| no. | energy relative to the elements (eV per atom) | relative energy among the computed polymorphs (eV per atom) | total moment (μB per atom) |
| --- | --- | --- | --- |
| 1 | 0.574 | 0.0000 | 0.000 |
| 2 | 2.113 | 1.5391 | 0.000 |